The following is a DFT calculation (GGA-PBEsol) of a relaxed structure of FeMoPt.

Cell and atoms, written as CIF:
```
data_FeMoPt
_chemical_formula_sum 'Fe2 Mo2 Pt2'
_cell_length_a 2.660
_cell_length_b 3.791
_cell_length_c 8.105
_cell_angle_alpha 90.00
_cell_angle_beta 90.00
_cell_angle_gamma 90.00
_space_group_name_H-M_alt 'I m m 2'
_space_group_IT_number 44
loop_
_space_group_symop_operation_xyz
'x,y,z'
'-x,-y,z'
'-x,y,z'
'x,-y,z'
'x+1/2,y+1/2,z+1/2'
'-x+1/2,-y+1/2,z+1/2'
'-x+1/2,y+1/2,z+1/2'
'x+1/2,-y+1/2,z+1/2'
loop_
_atom_site_label
_atom_site_fract_x
_atom_site_fract_y
_atom_site_fract_z
Fe1 0.000 0.000 0.000
Mo1 0.000 0.000 0.658
Pt1 0.000 0.000 0.332
```

Calculated values
density	14.1	g/cm³
uncorrected energy	-9.353	eV/atom
spin magnetization	0.5487	μB per atom
formation enthalpy at 0 K	-0.121	eV/atom
E above lowest polymorph	0	meV/atom
crystal system	orthorhombic
DOS at the Fermi energy	5.9	states/eV per cell